Here is an optimized crystal structure of Nd2Tm3ThSe6 from Alexandria. Energies are from GGA-PBE.

Output
Uncorrected formation energy ... -1700 meV/atom
Raw total energy ... -5.973 eV/atom

Cell: 18.260 4.041 8.419 Å, 90.00 106.75 90.00°
Space group C2/m (No. 12)
Asymmetric unit:
Nd: 0.163 0.000 0.325
Tm: 0.000 0.500 0.500
Tm: 0.167 0.000 0.833
Th: 0.000 0.500 0.000
Se: 0.006 0.000 0.738
Se: 0.164 0.500 0.593
Se: 0.172 0.500 0.070



Here is an optimized crystal structure of Sc3Zn4Cu4 from Alexandria. Energies are from GGA-PBE.

Output
Calculated formation energy ... -180 meV/atom
Raw total energy ... -3.859 eV/atom

Cell: 3.124 3.959 14.423 Å, 82.27 84.10 89.99°
Space group P-1 (No. 2)
Asymmetric unit:
Sc: 0.000 0.000 0.000
Sc: 0.346 0.349 0.297
Zn: 0.192 0.191 0.622
Zn: 0.452 0.449 0.101
Cu: 0.104 0.100 0.807
Cu: 0.241 0.741 0.519



Here is an optimized crystal structure of KReSb2I from Alexandria. Energies are from GGA-PBE.

Output
Excess energy over the best structure of this formula in the dataset ... 2.2927 eV per atom
Uncorrected formation energy ... 2444 meV/atom
Raw total energy ... -2.224 eV/atom

Cell: 5.769 5.769 5.818 Å, 90.00 90.00 90.00°
Space group P4/mmm (No. 123)
Asymmetric unit:
K: 0.000 0.000 0.000
Re: 0.500 0.500 0.500
Sb: 0.000 0.500 0.000
I: 0.000 0.000 0.500



Here is an optimized crystal structure of U2RuS from Alexandria. Energies are from GGA-PBE.

Output
Uncorrected formation energy ... -594 meV/atom
Raw total energy ... -9.589 eV/atom

Cell: 3.7799 3.7799 20.3867 Å, 90.00 90.00 120.00°
Space group R-3m (No. 166, hexagonal axes)
Asymmetric unit:
U: 0.0000 0.0000 0.2486
Ru: 0.0000 0.0000 0.5000
S: 0.0000 0.0000 0.0000



Here is an optimized crystal structure of Rb2ScCl5 from Alexandria. Energies are from GGA-PBE.

Output
Excess energy over the best structure of this formula in the dataset ... 0.0144 eV per atom
Uncorrected formation energy ... -2069 meV/atom
Raw total energy ... -4.257 eV/atom

Cell: 7.397 7.397 5.012 Å, 90.00 90.00 90.00°
Space group P4/mmm (No. 123)
Asymmetric unit:
Rb: 0.000 0.500 0.000
Sc: 0.000 0.000 0.500
Cl: 0.000 0.000 0.000
Cl: 0.237 0.237 0.500



Here is an optimized crystal structure of CoTc2Os from Alexandria. Energies are from GGA-PBE.

Output
Excess energy over the best structure of this formula in the dataset ... 0.0901 eV per atom
Calculated formation energy ... 53 meV/atom
Raw total energy ... -9.714 eV/atom

Cell: 3.765 3.765 3.809 Å, 90.00 90.00 90.00°
Space group P4/mmm (No. 123)
Asymmetric unit:
Co: 0.000 0.000 0.000
Tc: 0.000 0.500 0.500
Os: 0.500 0.500 0.000



Here is an optimized crystal structure of Y3TlRh from Alexandria. Energies are from GGA-PBE.

Output
Excess energy over the best structure of this formula in the dataset ... 0.0243 eV per atom
Calculated formation energy ... -480 meV/atom
Raw total energy ... -6.302 eV/atom

Cell: 14.822 4.797 9.413 Å, 90.00 125.67 90.00°
Space group C2/m (No. 12)
Asymmetric unit:
Y: 0.095 0.000 0.437
Y: 0.136 0.500 0.211
Y: 0.139 0.500 0.781
Tl: 0.095 0.000 0.964
Rh: 0.223 0.500 0.586



Here is an optimized crystal structure of Rb2Pb2Se3 from Alexandria. Energies are from GGA-PBE.

Output
Excess energy over the best structure of this formula in the dataset ... 0.0212 eV per atom
Uncorrected formation energy ... -768 meV/atom
Raw total energy ... -3.597 eV/atom

Cell: 4.551 7.751 8.524 Å, 101.89 90.00 107.06°
Space group P-1 (No. 2)
Asymmetric unit:
Rb: 0.135 0.270 0.364
Pb: 0.366 0.733 0.069
Se: 0.000 0.000 0.000
Se: 0.232 0.465 0.771



Here is an optimized crystal structure of CeNd4Se4 from Alexandria. Energies are from GGA-PBE.

Output
Uncorrected formation energy ... -1566 meV/atom
Raw total energy ... -5.893 eV/atom

Cell: 9.354 9.354 5.957 Å, 90.00 90.00 90.00°
Space group I4/m (No. 87)
Asymmetric unit:
Ce: 0.000 0.000 0.000
Nd: 0.101 0.299 0.500
Se: 0.097 0.300 0.000



Here is an optimized crystal structure of Li2ZnPd from Alexandria. Energies are from GGA-PBE.

Output
Calculated formation energy ... -200 meV/atom
Raw total energy ... -2.774 eV/atom

Cell: 2.821 4.427 9.925 Å, 90.00 90.00 90.00°
Space group Immm (No. 71)
Asymmetric unit:
Li: 0.000 0.000 0.246
Zn: 0.000 0.000 0.500
Pd: 0.000 0.000 0.000



Here is an optimized crystal structure of BaUGa2O6 from Alexandria. Energies are from GGA-PBE.

Output
Uncorrected formation energy ... -2319 meV/atom
Raw total energy ... -7.221 eV/atom

Cell: 5.7894 5.7894 17.9393 Å, 90.00 90.00 120.00°
Space group R-3 (No. 148, hexagonal axes)
Asymmetric unit:
Ba: 0.0000 0.0000 0.0000
U: 0.0000 0.0000 0.5000
Ga: 0.0000 0.0000 0.2281
O: 0.0027 0.3750 0.9042



Here is an optimized crystal structure of Pr4GeSbSe2 from Alexandria. Energies are from GGA-PBE.

Output
Uncorrected formation energy ... -1470 meV/atom
Raw total energy ... -5.823 eV/atom

Cell: 7.546 4.377 7.609 Å, 90.00 109.47 90.00°
Space group P2/m (No. 10)
Asymmetric unit:
Pr: 0.245 0.000 0.239
Pr: 0.251 0.500 0.761
Ge: 0.000 0.500 0.000
Sb: 0.000 0.000 0.500
Se: 0.500 0.000 0.000
Se: 0.500 0.500 0.500



Here is an optimized crystal structure of Ce2Zr3Ga4 from Alexandria. Energies are from GGA-PBE.

Output
Excess energy over the best structure of this formula in the dataset ... 0.0000 eV per atom
Calculated formation energy ... -499 meV/atom
Raw total energy ... -6.013 eV/atom

Cell: 7.586 7.575 7.371 Å, 90.00 108.32 90.00°
Space group P2_1/c (No. 14)
Asymmetric unit:
Ce: 0.188 0.167 0.068
Zr: 0.250 0.679 0.251
Zr: 0.500 0.000 0.500
Ga: 0.081 0.536 0.869
Ga: 0.492 0.125 0.869



Here is an optimized crystal structure of Cs3CeAg2Br8 from Alexandria. Energies are from GGA-PBE.

Output
Uncorrected formation energy ... -1366 meV/atom
Raw total energy ... -3.336 eV/atom

Cell: 8.0654 8.0654 10.6099 Å, 90.00 90.00 120.00°
Space group P-3m1 (No. 164)
Asymmetric unit:
Cs: 0.0000 0.0000 0.0000
Cs: 0.3333 0.6667 0.6285
Ce: 0.0000 0.0000 0.5000
Ag: 0.3333 0.6667 0.1893
Br: 0.1665 0.3330 0.3364
Br: 0.3333 0.6667 0.9508



Here is an optimized crystal structure of CoNi14Mo from Alexandria. Energies are from GGA-PBE.

Output
Calculated formation energy ... 22 meV/atom
Raw total energy ... -6.158 eV/atom

Cell: 8.197 5.015 8.699 Å, 90.00 90.00 90.00°
Space group Amm2 (No. 38)
Asymmetric unit:
Co: 0.000 0.000 0.000
Ni: 0.000 0.249 0.752
Ni: 0.249 0.000 0.166
Ni: 0.251 0.248 0.917
Ni: 0.252 0.000 0.668
Ni: 0.500 0.000 0.334
Ni: 0.500 0.000 0.834
Ni: 0.500 0.250 0.085
Mo: 0.000 0.000 0.501



Here is an optimized crystal structure of Na8AgHg3 from Alexandria. Energies are from GGA-PBE.

Output
Calculated formation energy ... -71 meV/atom
Raw total energy ... -1.264 eV/atom

Cell: 10.279 10.493 14.440 Å, 90.00 90.00 90.00°
Space group Fmmm (No. 69)
Asymmetric unit:
Na: 0.000 0.245 0.121
Na: 0.246 0.000 0.124
Ag: 0.000 0.000 0.000
Hg: 0.000 0.000 0.500
Hg: 0.250 0.250 0.250



Here is an optimized crystal structure of Na6AuBr8 from Alexandria. Energies are from GGA-PBE.

Output
Uncorrected formation energy ... -1233 meV/atom
Raw total energy ... -2.871 eV/atom

Cell: 11.997 11.997 11.997 Å, 90.00 90.00 90.00°
Space group Fm-3m (No. 225)
Asymmetric unit:
Na: 0.000 0.250 0.250
Au: 0.000 0.000 0.000
Br: 0.000 0.000 0.234
Br: 0.250 0.250 0.250



Here is an optimized crystal structure of TeF3 from Alexandria. Energies are from GGA-PBE.

Output
Excess energy over the best structure of this formula in the dataset ... 0.3851 eV per atom
Uncorrected formation energy ... -1256 meV/atom
Raw total energy ... -3.445 eV/atom

Cell: 3.762 3.762 15.249 Å, 90.00 90.00 90.00°
Space group I-42d (No. 122)
Asymmetric unit:
Te: 0.000 0.000 0.000
F: 0.000 0.000 0.500
F: 0.189 0.250 0.125



Here is an optimized crystal structure of BaCaEuNbO6 from Alexandria. Energies are from GGA-PBE.

Output
Excess energy over the best structure of this formula in the dataset ... 0.0000 eV per atom
Uncorrected formation energy ... -2781 meV/atom
Raw total energy ... -8.183 eV/atom

Cell: 5.946 5.948 8.542 Å, 90.05 90.01 90.52°
Space group P-1 (No. 2)
Asymmetric unit:
Ba: 0.014 0.015 0.250
Ca: 0.483 0.482 0.750
Eu: 0.000 0.500 0.500
Eu: 0.500 0.000 0.000
Nb: 0.000 0.500 0.000
Nb: 0.500 0.000 0.500
O: 0.083 0.466 0.768
O: 0.181 0.785 0.005
O: 0.215 0.818 0.503
O: 0.284 0.325 0.060
O: 0.325 0.285 0.441
O: 0.465 0.082 0.732



Here is an optimized crystal structure of TbDy2Rh2 from Alexandria. Energies are from GGA-PBE.

Output
Calculated formation energy ... -622 meV/atom
Raw total energy ... -6.330 eV/atom

Cell: 3.938 16.929 7.281 Å, 90.00 90.00 90.00°
Space group Cmc2_1 (No. 36)
Asymmetric unit:
Tb: 0.000 0.122 0.000
Dy: 0.000 0.311 0.886
Dy: 0.000 0.469 0.167
Rh: 0.000 0.053 0.367
Rh: 0.000 0.305 0.287